Here is a relaxed structure of CePm2YS4 from the Alexandria database. Energies are from GGA-PBE.

Values from the calculation:
The value obtained for the formation energy from raw total energies is -1568 kJ/mol of formula units. The value obtained for the density of states at the Fermi level is 0.943 states/eV per atom. The symmetry is P2/m.

a = 6.9281 Å, b = 3.9867 Å, c = 6.9544 Å
α = 90.00°, β = 109.28°, γ = 90.00°
With the nearest neighbours (Å) after each atom.
Positions (direct):
Ce  0.0000  0.0000  0.0000  6 S 2.83
Pm  0.5000  0.0000  0.5000  6 S 2.83-2.84
Pm  0.5000  0.5000  0.0000  6 S 2.87
Y  0.0000  0.5000  0.5000  6 S 2.79
S  0.2422  0.0000  0.7431  2 Y 2.79, 1 Ce 2.83, 3 Pm 2.84-2.87
S  0.2457  0.5000  0.2531  1 Y 2.79, 2 Ce 2.83, 3 Pm 2.83-2.87
S  0.7543  0.5000  0.7469  1 Y 2.79, 2 Ce 2.83, 3 Pm 2.83-2.87
S  0.7578  0.0000  0.2569  2 Y 2.79, 1 Ce 2.83, 3 Pm 2.84-2.87

---

Here is a relaxed structure of Ce2Pm3YS6 from the Alexandria database. Energies are from GGA-PBE.

Values from the calculation:
The value obtained for the formation energy from raw total energies is -2358 kJ/mol of formula units. The value obtained for the density of states at the Fermi level is 1.027 states/eV per atom. The symmetry is C2/m.

a = 6.9500 Å, b = 6.9500 Å, c = 6.9518 Å
α = 99.63°, β = 99.63°, γ = 120.06°
With the nearest neighbours (Å) after each atom.
Positions (direct):
Ce  0.1662  0.8338  0.0000  6 S 2.83-2.84
Ce  0.8338  0.1662  0.0000  6 S 2.83-2.84
Pm  0.0000  0.0000  0.5000  6 S 2.84-2.88
Pm  0.3331  0.6669  0.5000  6 S 2.84-2.88
Pm  0.6669  0.3331  0.5000  6 S 2.84-2.88
Y  0.5000  0.5000  0.0000  6 S 2.79-2.80
S  0.0895  0.4183  0.7542  1 Y 2.79, 2 Ce 2.84, 3 Pm 2.84-2.88
S  0.2538  0.2538  0.2466  1 Y 2.80, 2 Ce 2.83, 3 Pm 2.84-2.88
S  0.4183  0.0895  0.7542  1 Y 2.79, 2 Ce 2.84, 3 Pm 2.84-2.88
S  0.5817  0.9105  0.2458  1 Y 2.79, 2 Ce 2.84, 3 Pm 2.84-2.88
S  0.7462  0.7462  0.7534  1 Y 2.80, 2 Ce 2.83, 3 Pm 2.84-2.88
S  0.9105  0.5817  0.2458  1 Y 2.79, 2 Ce 2.84, 3 Pm 2.84-2.88

---

Here is a relaxed structure of Ce3Pm4YS8 from the Alexandria database. Energies are from GGA-PBE.

Values from the calculation:
The value obtained for the formation energy from raw total energies is -3147 kJ/mol of formula units. The value obtained for the density of states at the Fermi level is 1.157 states/eV per atom. The symmetry is R-3m.

a = 8.0270 Å, b = 8.0270 Å, c = 8.0270 Å
α = 60.07°, β = 60.07°, γ = 60.07°
With the nearest neighbours (Å) after each atom.
Positions (direct):
Ce  0.0000  0.5000  0.5000  6 S 2.84
Ce  0.5000  0.0000  0.5000  6 S 2.84
Ce  0.5000  0.5000  0.0000  6 S 2.84
Pm  0.0000  0.0000  0.5000  6 S 2.84
Pm  0.0000  0.5000  0.0000  6 S 2.84
Pm  0.5000  0.0000  0.0000  6 S 2.84
Pm  0.5000  0.5000  0.5000  6 S 2.88
Y  0.0000  0.0000  0.0000  6 S 2.80
S  0.2464  0.2464  0.7530  1 Y 2.80, 2 Ce 2.84, 3 Pm 2.84-2.88
S  0.2464  0.7530  0.2464  1 Y 2.80, 2 Ce 2.84, 3 Pm 2.84-2.88
S  0.2470  0.7536  0.7536  1 Y 2.80, 2 Ce 2.84, 3 Pm 2.84-2.88
S  0.2501  0.2501  0.2501  3 Ce 2.84, 3 Pm 2.84
S  0.7499  0.7499  0.7499  3 Ce 2.84, 3 Pm 2.84
S  0.7530  0.2464  0.2464  1 Y 2.80, 2 Ce 2.84, 3 Pm 2.84-2.88
S  0.7536  0.2470  0.7536  1 Y 2.80, 2 Ce 2.84, 3 Pm 2.84-2.88
S  0.7536  0.7536  0.2470  1 Y 2.80, 2 Ce 2.84, 3 Pm 2.84-2.88

---

Here is a relaxed structure of Ce3PmY4S8 from the Alexandria database. Energies are from GGA-PBE.

Values from the calculation:
The value obtained for the formation energy from raw total energies is -3133 kJ/mol of formula units. The value obtained for the density of states at the Fermi level is 1.152 states/eV per atom. The symmetry is R-3m.

a = 7.9741 Å, b = 7.9741 Å, c = 7.9741 Å
α = 59.51°, β = 59.51°, γ = 59.51°
With the nearest neighbours (Å) after each atom.
Positions (direct):
Ce  0.0000  0.5000  0.5000  6 S 2.85
Ce  0.5000  0.0000  0.5000  6 S 2.85
Ce  0.5000  0.5000  0.0000  6 S 2.85
Pm  0.0000  0.0000  0.0000  6 S 2.85
Y  0.0000  0.0000  0.5000  6 S 2.77
Y  0.0000  0.5000  0.0000  6 S 2.77
Y  0.5000  0.0000  0.0000  6 S 2.77
Y  0.5000  0.5000  0.5000  6 S 2.77
S  0.2465  0.2465  0.2465  3 Y 2.77, 3 Ce 2.85
S  0.2469  0.7464  0.7464  3 Y 2.77, 2 Ce 2.85, 1 Pm 2.85
S  0.2536  0.2536  0.7531  3 Y 2.77, 2 Ce 2.85, 1 Pm 2.85
S  0.2536  0.7531  0.2536  3 Y 2.77, 2 Ce 2.85, 1 Pm 2.85
S  0.7464  0.2469  0.7464  3 Y 2.77, 2 Ce 2.85, 1 Pm 2.85
S  0.7464  0.7464  0.2469  3 Y 2.77, 2 Ce 2.85, 1 Pm 2.85
S  0.7531  0.2536  0.2536  3 Y 2.77, 2 Ce 2.85, 1 Pm 2.85
S  0.7535  0.7535  0.7535  3 Y 2.77, 3 Ce 2.85

---

Here is a relaxed structure of Ce4Pm3YS8 from the Alexandria database. Energies are from GGA-PBE.

Values from the calculation:
The value obtained for the formation energy from raw total energies is -3148 kJ/mol of formula units. The value obtained for the density of states at the Fermi level is 1.406 states/eV per atom. The symmetry is R-3m.

a = 8.0393 Å, b = 8.0393 Å, c = 8.0393 Å
α = 59.89°, β = 59.89°, γ = 59.89°
With the nearest neighbours (Å) after each atom.
Positions (direct):
Ce  0.0000  0.0000  0.0000  6 S 2.88
Ce  0.0000  0.5000  0.5000  6 S 2.84
Ce  0.5000  0.0000  0.5000  6 S 2.84
Ce  0.5000  0.5000  0.0000  6 S 2.84
Pm  0.0000  0.0000  0.5000  6 S 2.84
Pm  0.0000  0.5000  0.0000  6 S 2.84
Pm  0.5000  0.0000  0.0000  6 S 2.84
Y  0.5000  0.5000  0.5000  6 S 2.80
S  0.2500  0.2500  0.2500  3 Ce 2.84, 3 Pm 2.84
S  0.2537  0.2537  0.7462  1 Y 2.80, 3 Ce 2.84-2.88, 2 Pm 2.84
S  0.2537  0.7462  0.2537  1 Y 2.80, 3 Ce 2.84-2.88, 2 Pm 2.84
S  0.2538  0.7463  0.7463  1 Y 2.80, 3 Ce 2.84-2.88, 2 Pm 2.84
S  0.7462  0.2537  0.2537  1 Y 2.80, 3 Ce 2.84-2.88, 2 Pm 2.84
S  0.7463  0.2538  0.7463  1 Y 2.80, 3 Ce 2.84-2.88, 2 Pm 2.84
S  0.7463  0.7463  0.2538  1 Y 2.80, 3 Ce 2.84-2.88, 2 Pm 2.84
S  0.7500  0.7500  0.7500  3 Ce 2.84, 3 Pm 2.84

---

Here is a relaxed structure of CePmY2S4 from the Alexandria database. Energies are from GGA-PBE.

Values from the calculation:
The value obtained for the formation energy from raw total energies is -1564 kJ/mol of formula units. The value obtained for the density of states at the Fermi level is 0.959 states/eV per atom. The symmetry is P2/m.

a = 6.8612 Å, b = 3.9480 Å, c = 6.9338 Å
α = 90.00°, β = 109.16°, γ = 90.00°
With the nearest neighbours (Å) after each atom.
Positions (direct):
Ce  0.0000  0.0000  0.0000  6 S 2.85
Pm  0.5000  0.5000  0.0000  6 S 2.85
Y  0.0000  0.5000  0.5000  6 S 2.77
Y  0.5000  0.0000  0.5000  6 S 2.77
S  0.2459  0.0000  0.7394  3 Y 2.77, 1 Ce 2.85, 2 Pm 2.85
S  0.2533  0.5000  0.2606  3 Y 2.77, 2 Ce 2.85, 1 Pm 2.85
S  0.7467  0.5000  0.7394  3 Y 2.77, 2 Ce 2.85, 1 Pm 2.85
S  0.7541  0.0000  0.2606  3 Y 2.77, 1 Ce 2.85, 2 Pm 2.85

---

| no. | magnetization (μB/cell) | theoretical density (g cm⁻³) |
| --- | --- | --- |
| 1 | 0.70 | 5.93 |
| 2 | 1.53 | 6.04 |
| 3 | 2.01 | 6.10 |
| 4 | 2.08 | 5.51 |
| 5 | 2.93 | 6.08 |
| 6 | 0.79 | 5.53 |